(1)
Sr2LiTeN: optimized geometry, PBE.

abc: 5.301 5.301 4.302
angles: 90.00 90.00 90.00
Space group P4/mmm (No. 123)
Symmetry-distinct sites (fractional):
Sr  0.000  0.500  0.000
Li  0.000  0.000  0.500
Te  0.500  0.500  0.500
N  0.000  0.000  0.000

The total moment is 0.0 μB per formula unit. The raw formation energy is -0.98 eV/atom. Its calculated density is 4.45 g/cm³.


(2)
SrLiTe2N: optimized geometry, PBE.

abc: 6.323 6.323 4.923
angles: 90.00 90.00 90.00
Space group P4/mmm (No. 123)
Symmetry-distinct sites (fractional):
Sr  0.000  0.000  0.000
Li  0.500  0.500  0.500
Te  0.000  0.500  0.000
N  0.000  0.000  0.500

The total moment is 3.5 μB per formula unit. The raw formation energy is 0.45 eV/atom. Its calculated density is 3.07 g/cm³. As for the offset from the most stable computed form: 379.9 meV per atom.